(1)
! TeW2Au, relaxed, DFT GGA-PBE; values from VASP
&SYSTEM
  ibrav = 0, nat = 8, ntyp = 3
/
ATOMIC_SPECIES
Te 127.60 Te.upf
W 183.84 W.upf
Au 196.97 Au.upf
CELL_PARAMETERS angstrom
3.0999 0.0000 0.0000
0.0000 4.6741 0.0000
0.0000 0.0000 11.5490
ATOMIC_POSITIONS crystal
Te 0.0000 0.0000 0.0000
Te 0.5000 0.5000 0.5000
W 0.0000 0.0000 0.6073
W 0.0000 0.5000 0.2759
W 0.5000 0.0000 0.7759
W 0.5000 0.5000 0.1073
Au 0.0000 0.5000 0.7626
Au 0.5000 0.0000 0.2626
! - Formation energy without anion corrections: 688 meV/atom
! - Space-group type: Imm2, No. 44
! - Uncorrected energy: -7.39 eV per atom

***

(2)
! Te2WAu, relaxed, DFT GGA-PBE; values from VASP
&SYSTEM
  ibrav = 0, nat = 4, ntyp = 3
/
ATOMIC_SPECIES
Te 127.60 Te.upf
W 183.84 W.upf
Au 196.97 Au.upf
CELL_PARAMETERS angstrom
2.9451 0.0000 0.0000
0.0000 4.4683 0.0000
-0.1148 0.0000 6.8615
ATOMIC_POSITIONS crystal
Te 0.2302 0.0000 0.2678
Te 0.7698 0.0000 0.7322
W 0.0000 0.5000 0.5000
Au 0.0000 0.5000 0.0000
! - Polymorph energy (0 for the lowest one): 405 meV per atom
! - Formation energy without anion corrections: 689 meV/atom
! - Space-group type: P2/m, No. 10
! - Uncorrected energy: -4.94 eV per atom

***

(3)
! Te2WAu, relaxed, DFT GGA-PBE; values from VASP
&SYSTEM
  ibrav = 0, nat = 4, ntyp = 3
/
ATOMIC_SPECIES
Te 127.60 Te.upf
W 183.84 W.upf
Au 196.97 Au.upf
CELL_PARAMETERS angstrom
3.3179 0.0000 0.0000
0.0000 3.3179 0.0000
0.0000 0.0000 7.8499
ATOMIC_POSITIONS crystal
Te 0.0000 0.0000 0.2140
Te 0.0000 0.0000 0.7860
W 0.5000 0.5000 0.0000
Au 0.5000 0.5000 0.5000
! - Polymorph energy (0 for the lowest one): 123 meV per atom
! - Formation energy without anion corrections: 407 meV/atom
! - Space-group type: P4/mmm, No. 123
! - Uncorrected energy: -5.22 eV per atom